Entry 1:
This record from Alexandria describes an optimized crystal structure of Nd4TeAsP2. The functional is PBE.

Values from the calculation:
total moment	0.0	μB/f.u.
space-group type	No. 10
ΔE_f (raw)	-1546	meV per atom
crystal system	monoclinic

abc: 4.2555 7.4415 7.3943
angles: 70.85 90.00 90.00
With the nearest neighbours (Å) after each atom.
Element x y z (fractional)
1 Nd 0.5000 0.2359 0.7455  3 P 2.91-3.00, 2 As 3.06, 1 Te 3.14
2 Nd 0.0000 0.7727 0.7324  3 P 2.90-3.00, 1 As 3.06, 2 Te 3.15
3 Nd 0.0000 0.2273 0.2676  3 P 2.90-3.00, 1 As 3.06, 2 Te 3.15
4 Nd 0.5000 0.7641 0.2545  3 P 2.91-3.00, 2 As 3.06, 1 Te 3.14
5 As 0.0000 0.5000 0.5000  6 Nd 3.06
6 P 0.0000 0.0000 0.0000  6 Nd 3.00
7 P 0.5000 0.0000 0.5000  6 Nd 2.90-2.91
8 Te 0.5000 0.5000 0.0000  6 Nd 3.14-3.15



Entry 2:
This record from Alexandria describes an optimized crystal structure of Nd6Te3As2P. The functional is PBE.

Values from the calculation:
total moment	0.0	μB/f.u.
space-group type	No. 12
ΔE_f (raw)	-1553	meV per atom
crystal system	monoclinic

abc: 4.3179 8.8531 9.8650
angles: 105.07 102.64 90.00
With the nearest neighbours (Å) after each atom.
Element x y z (fractional)
1 As 0.8335 0.6671 0.6671  6 Nd 2.97-3.00
2 As 0.1665 0.3329 0.3329  6 Nd 2.97-3.00
3 Nd 0.0052 0.2260 0.0103  2 P 2.93, 1 As 3.00, 3 Te 3.24-3.27
4 Nd 0.6726 0.5672 0.3451  3 As 2.97-2.99, 3 Te 3.21-3.22
5 Nd 0.6559 0.0952 0.3119  1 P 2.89, 2 As 2.98, 2 Te 3.22
6 Nd 0.9948 0.7740 0.9897  2 P 2.93, 1 As 3.00, 3 Te 3.24-3.27
7 Nd 0.3274 0.4328 0.6549  3 As 2.97-2.99, 3 Te 3.21-3.22
8 Nd 0.3441 0.9048 0.6881  1 P 2.89, 2 As 2.98, 2 Te 3.22
9 Te 0.8318 0.1660 0.6635  6 Nd 3.22-3.27
10 Te 0.1682 0.8340 0.3365  6 Nd 3.22-3.27
11 Te 0.5000 0.5000 0.0000  6 Nd 3.21-3.27
12 P 0.5000 0.0000 0.0000  6 Nd 2.89-2.93



Entry 3:
This record from Alexandria describes an optimized crystal structure of Nd4Te2AsP. The functional is PBE.

Values from the calculation:
total moment	0.0	μB/f.u.
space-group type	No. 10
ΔE_f (raw)	-1556	meV per atom
crystal system	monoclinic

abc: 4.3052 7.4473 7.7405
angles: 108.78 90.00 90.00
With the nearest neighbours (Å) after each atom.
Element x y z (fractional)
1 Nd 0.5000 0.2338 0.2154  2 P 2.93, 1 As 2.97, 3 Te 3.22-3.26
2 Nd 0.0000 0.7448 0.2182  1 P 2.92, 2 As 2.97, 3 Te 3.22-3.26
3 Nd 0.5000 0.7662 0.7846  2 P 2.93, 1 As 2.97, 3 Te 3.22-3.26
4 Nd 0.0000 0.2552 0.7818  1 P 2.92, 2 As 2.97, 3 Te 3.22-3.26
5 As 0.5000 0.5000 0.0000  6 Nd 2.97
6 P 0.0000 0.0000 0.0000  6 Nd 2.92-2.93
7 Te 0.0000 0.5000 0.5000  6 Nd 3.26
8 Te 0.5000 0.0000 0.5000  6 Nd 3.22



Entry 4:
This record from Alexandria describes an optimized crystal structure of Nd8Te4As3P. The functional is PBE.

Values from the calculation:
total moment	0.0	μB/f.u.
space-group type	No. 166
ΔE_f (raw)	-1549	meV per atom
crystal system	trigonal

abc: 8.6437 8.8700 8.6437
angles: 119.16 120.00 90.00
With the nearest neighbours (Å) after each atom.
Element x y z (fractional)
1 As 0.0000 0.5000 0.5000  6 Nd 2.97-2.98
2 As 0.5000 0.5000 0.0000  6 Nd 2.97-2.98
3 As 0.5000 0.5000 0.5000  6 Nd 2.97-2.98
4 Te 0.0000 0.0000 0.5000  6 Nd 3.23
5 Te 0.5000 0.0000 0.0000  6 Nd 3.27
6 Te 0.0000 0.0000 0.0000  6 Nd 3.23
7 Te 0.5000 0.0000 0.5000  6 Nd 3.23
8 Nd 0.2367 0.7179 0.9812  1 P 2.93, 2 As 2.98, 3 Te 3.23-3.27
9 Nd 0.7633 0.2821 0.5266  1 P 2.93, 2 As 2.98, 3 Te 3.23-3.27
10 Nd 0.7403 0.7209 0.4806  3 As 2.97, 3 Te 3.23
11 Nd 0.7633 0.2821 0.0188  1 P 2.93, 2 As 2.98, 3 Te 3.23-3.27
12 Nd 0.7445 0.7179 0.9812  1 P 2.93, 2 As 2.98, 3 Te 3.23-3.27
13 Nd 0.2597 0.2791 0.5194  3 As 2.97, 3 Te 3.23
14 Nd 0.2367 0.7179 0.4734  1 P 2.93, 2 As 2.98, 3 Te 3.23-3.27
15 Nd 0.2555 0.2821 0.0188  1 P 2.93, 2 As 2.98, 3 Te 3.23-3.27
16 P 0.0000 0.5000 0.0000  6 Nd 2.93



Entry 5:
This record from Alexandria describes an optimized crystal structure of Nd6TeAs3P2. The functional is PBE.

Values from the calculation:
total moment	0.0	μB/f.u.
space-group type	No. 12
ΔE_f (raw)	-1530	meV per atom
crystal system	monoclinic

abc: 4.2687 8.5875 9.5426
angles: 102.68 102.92 90.00
With the nearest neighbours (Å) after each atom.
Element x y z (fractional)
1 Nd 0.3262 0.9062 0.6524  3 As 2.94-3.07, 2 P 2.99, 1 Te 3.15
2 Nd 0.9967 0.7316 0.9933  3 As 2.93-3.04, 1 P 2.98, 2 Te 3.13
3 Nd 0.3308 0.4202 0.6617  3 P 2.96-2.99, 3 As 3.06-3.07
4 Nd 0.6738 0.0938 0.3476  3 As 2.94-3.07, 2 P 2.99, 1 Te 3.15
5 Nd 0.0033 0.2684 0.0067  3 As 2.93-3.04, 1 P 2.98, 2 Te 3.13
6 Nd 0.6692 0.5798 0.3383  3 P 2.96-2.99, 3 As 3.06-3.07
7 P 0.8324 0.6656 0.6648  6 Nd 2.96-2.99
8 P 0.1676 0.3344 0.3352  6 Nd 2.96-2.99
9 As 0.8361 0.1670 0.6722  6 Nd 2.94-3.07
10 As 0.5000 0.5000 0.0000  6 Nd 2.93-3.07
11 As 0.1639 0.8330 0.3278  6 Nd 2.94-3.07
12 Te 0.5000 0.0000 0.0000  6 Nd 3.13-3.15



Entry 6:
This record from Alexandria describes an optimized crystal structure of NdThAsP. The functional is PBE.

Values from the calculation:
total moment	0.0	μB/f.u.
energy of formation	-1520	meV per atom
space-group type	No. 123
crystal system	tetragonal

abc: 4.1972 4.1969 5.9669
angles: 89.98 90.00 90.00
With the nearest neighbours (Å) after each atom.
Element x y z (fractional)
1 Nd 0.0000 0.8916 0.5923  4 As 2.97, 2 P 2.98
2 Th 0.5000 0.3914 0.0926  4 P 2.97, 2 As 2.98
3 As 0.5000 0.3916 0.5926  4 Nd 2.97, 2 Th 2.98
4 P 0.0000 0.8914 0.0923  4 Th 2.97, 2 Nd 2.98